A plane-wave DFT calculation with PBE was carried out for a relaxed Pm6Ru3O crystal.

Results
energy relative to the elements, uncorrected: -7.0 eV per formula unit
V: 24.234 Å³ per atom

abc: 6.7425 7.2103 11.8743
angles: 90.00 122.90 90.00
With the nearest neighbours (Å) after each atom.
Space group P2_1/c (No. 14)
Asymmetric unit:
Pm: 0.0778 0.0281 0.2339  1 O 2.54, 2 Ru 2.74-2.81
Pm: 0.2245 0.6746 0.0697  1 O 2.67, 2 Ru 2.72-2.87
Pm: 0.3843 0.1645 0.0774  1 O 2.53, 1 Ru 2.81
Ru: 0.3235 0.1452 0.7986  4 Pm 2.74-2.87
Ru: 0.5000 0.0000 0.5000  6 Pm 2.72-2.89
O: 0.0000 0.0000 0.0000  6 Pm 2.53-2.67